Compound: CsPuS2O8
Source: Alexandria via LeMat-Bulk
Functional: PBE-GGA
Structure: relaxed

Cell lengths 5.3607, 5.3607, 26.6950 Å; angles 90.00, 90.00, 120.00 degrees
Space group R-3 (No. 148, hexagonal axes)
Unique sites:
Cs  0.0000  0.0000  0.0000 (multiplicity 3)
Pu  0.0000  0.0000  0.5000 (multiplicity 3)
S  0.0000  0.0000  0.2395 (multiplicity 6)
O  0.0000  0.0000  0.2942 (multiplicity 6)
O  0.0331  0.2773  0.2196 (multiplicity 18)

## Properties
E_tot = -258.97 eV for the cell shown
raw formation energy = -1.93 eV per atom